# YHfTe2N (GGA-PBE, optimized geometry)
data_YHfTe2N
_cell_length_a 5.8236
_cell_length_b 5.8236
_cell_length_c 4.0007
_cell_angle_alpha 90.00
_cell_angle_beta 90.00
_cell_angle_gamma 90.00
_symmetry_space_group_name_H-M 'P 4/m m m'
_symmetry_Int_Tables_number 123
_symmetry_space_group_name_Hall '-P 4 2'
loop_
_atom_site_label
_atom_site_fract_x
_atom_site_fract_y
_atom_site_fract_z
Y1 0.0000 0.0000 0.0000
Hf1 0.5000 0.5000 0.5000
Te1 0.0000 0.5000 0.0000
N1 0.0000 0.0000 0.5000
# E_form (uncorrected) = 331 meV per atom

# YHfTe2N (GGA-PBE, optimized geometry)
data_YHfTe2N
_cell_length_a 5.6909
_cell_length_b 5.6909
_cell_length_c 3.9983
_cell_angle_alpha 90.00
_cell_angle_beta 90.00
_cell_angle_gamma 90.00
_symmetry_space_group_name_H-M 'P 4/m m m'
_symmetry_Int_Tables_number 123
_symmetry_space_group_name_Hall '-P 4 2'
loop_
_atom_site_label
_atom_site_fract_x
_atom_site_fract_y
_atom_site_fract_z
Y1 0.0000 0.0000 0.0000
Hf1 0.5000 0.5000 0.5000
Te1 0.0000 0.5000 0.5000
N1 0.5000 0.5000 0.0000
# E_form (uncorrected) = -603 meV per atom

# Y2HfTe2N2 (GGA-PBE, optimized geometry)
data_Y2HfTe2N2
_cell_length_a 4.1930
_cell_length_b 4.1930
_cell_length_c 17.7138
_cell_angle_alpha 90.00
_cell_angle_beta 90.00
_cell_angle_gamma 90.00
_symmetry_space_group_name_H-M 'I 4/m m m'
_symmetry_Int_Tables_number 139
_symmetry_space_group_name_Hall '-I 4 2'
loop_
_atom_site_label
_atom_site_fract_x
_atom_site_fract_y
_atom_site_fract_z
Y1 0.0000 0.0000 0.0914
Hf1 0.0000 0.0000 0.5000
Te1 0.0000 0.0000 0.3305
N1 0.0000 0.5000 0.0000
# E_form (uncorrected) = -1456 meV per atom

# HfZn2TeN (GGA-PBE, optimized geometry)
data_HfZn2TeN
_cell_length_a 5.2214
_cell_length_b 5.2214
_cell_length_c 4.0084
_cell_angle_alpha 90.00
_cell_angle_beta 90.00
_cell_angle_gamma 90.00
_symmetry_space_group_name_H-M 'P 4/m m m'
_symmetry_Int_Tables_number 123
_symmetry_space_group_name_Hall '-P 4 2'
loop_
_atom_site_label
_atom_site_fract_x
_atom_site_fract_y
_atom_site_fract_z
Hf1 0.0000 0.0000 0.0000
Zn1 0.0000 0.5000 0.5000
Te1 0.5000 0.5000 0.5000
N1 0.5000 0.5000 0.0000
# E_form (uncorrected) = 1285 meV per atom

Number 1: DFT total energy -29.4 eV per cell. Number 2: DFT total energy -34.0 eV per cell. Number 3: DFT total energy -112.0 eV per cell. Number 4: DFT total energy -17.5 eV per cell.